## P
The following is a DFT calculation (PBE-GGA) of a relaxed structure of Al2CuRh.

Cell: 4.3899 4.3899 4.7723 Å, 101.26 101.26 38.42°
Last column: nearest neighbours and their distance in Å.
Fractional coordinates of all 4 atoms:
Al 0.2470 0.2470 0.2458  3 Rh 2.58-2.61, 3 Cu 2.59-2.63, 6 Al 2.76-2.89
Al 0.7530 0.7530 0.7542  3 Rh 2.58-2.61, 3 Cu 2.59-2.63, 6 Al 2.76-2.89
Cu 0.0000 0.0000 0.5000  6 Al 2.59-2.63, 4 Rh 2.79, 2 Cu 2.89
Rh 0.5000 0.5000 0.0000  6 Al 2.58-2.61, 4 Cu 2.79, 2 Rh 2.89

Calculated values
Size of the total moment, μB/cell: 0.00
Symmetry: No. 12



## Q
The following is a DFT calculation (PBE-GGA) of a relaxed structure of Al2CuRh.

Cell: 3.2356 3.2356 5.3493 Å, 90.00 90.00 90.00°
Last column: nearest neighbours and their distance in Å.
Fractional coordinates of all 4 atoms:
Al 0.0000 0.0000 0.0000  4 Rh 2.53, 2 Cu 2.66-2.69, 4 Al 2.80
Al 0.5000 0.5000 0.3010  4 Cu 2.52, 2 Rh 2.65-2.70, 4 Al 2.80
Cu 0.0000 0.0000 0.4977  6 Al 2.52-2.69, 4 Rh 2.79
Rh 0.5000 0.5000 0.7968  6 Al 2.53-2.70, 4 Cu 2.79

Calculated values
Size of the total moment, μB/cell: 0.00
Symmetry: No. 99



## R
The following is a DFT calculation (PBE-GGA) of a relaxed structure of Al2CuRh.

Cell: 4.2823 4.2823 4.2823 Å, 60.00 60.00 60.00°
Last column: nearest neighbours and their distance in Å.
Fractional coordinates of all 4 atoms:
Al 0.0000 0.0000 0.0000  4 Al 2.62, 4 Rh 2.62
Al 0.2500 0.2500 0.2500  4 Cu 2.62, 4 Al 2.62
Cu 0.5000 0.5000 0.5000  4 Rh 2.62, 4 Al 2.62
Rh 0.7500 0.7500 0.7500  4 Al 2.62, 4 Cu 2.62

Calculated values
Size of the total moment, μB/cell: 0.00
Symmetry: No. 216



## S
The following is a DFT calculation (PBE-GGA) of a relaxed structure of Al2CuRh.

Cell: 8.1868 8.1868 8.1868 Å, 20.08 20.08 20.08°
Last column: nearest neighbours and their distance in Å.
Fractional coordinates of all 4 atoms:
Al 0.0000 0.0000 0.0000  3 Rh 2.59, 3 Cu 2.62, 6 Al 2.85
Al 0.1683 0.1683 0.1683  3 Rh 2.57, 3 Cu 2.60, 6 Al 2.85
Cu 0.4181 0.4181 0.4181  6 Al 2.60-2.62, 6 Cu 2.85
Rh 0.5835 0.5835 0.5835  6 Al 2.57-2.59, 6 Rh 2.85

Calculated values
Size of the total moment, μB/cell: 0.00
Symmetry: No. 160



Q has the most favorable energy; the next structure is 3.1 kJ/mol of atoms above.



## P
The following is a DFT calculation (PBE-GGA) of a relaxed structure of Al2Cu2Rh.

Cell: 6.8384 6.8384 2.8648 Å, 90.00 90.00 90.00°
Last column: nearest neighbours and their distance in Å.
Fractional coordinates of all 10 atoms:
Al 0.1775 0.3225 0.0000  6 Cu 2.40-2.53
Al 0.3225 0.8225 0.0000  6 Cu 2.40-2.53
Al 0.6775 0.1775 0.0000  6 Cu 2.40-2.53
Al 0.8225 0.6775 0.0000  6 Cu 2.40-2.53
Cu 0.1233 0.6233 0.5000  1 Cu 2.38, 6 Al 2.40-2.53
Cu 0.3767 0.1233 0.5000  1 Cu 2.38, 6 Al 2.40-2.53
Cu 0.6233 0.8767 0.5000  1 Cu 2.38, 6 Al 2.40-2.53
Cu 0.8767 0.3767 0.5000  1 Cu 2.38, 6 Al 2.40-2.53
Rh 0.0000 0.0000 0.5000  4 Cu 2.71, 2 Rh 2.86, 8 Al 2.90
Rh 0.5000 0.5000 0.5000  4 Cu 2.71, 2 Rh 2.86, 8 Al 2.90

Calculated values
Size of the total moment, μB/cell: 0.00
Symmetry: No. 127



## Q
The following is a DFT calculation (PBE-GGA) of a relaxed structure of Al2Cu2Rh.

Cell: 6.7527 6.7527 2.9907 Å, 90.00 90.00 90.00°
Last column: nearest neighbours and their distance in Å.
Fractional coordinates of all 10 atoms:
Al 0.1540 0.3461 0.0000  6 Cu 2.46-2.50, 2 Rh 2.56
Al 0.3461 0.8460 0.0000  6 Cu 2.46-2.50, 2 Rh 2.56
Al 0.6540 0.1540 0.0000  6 Cu 2.46-2.50, 2 Rh 2.56
Al 0.8460 0.6540 0.0000  6 Cu 2.46-2.50, 2 Rh 2.56
Cu 0.1421 0.6421 0.5000  6 Al 2.46-2.50, 1 Cu 2.71
Cu 0.3579 0.1421 0.5000  6 Al 2.46-2.50, 1 Cu 2.71
Cu 0.6421 0.8579 0.5000  6 Al 2.46-2.50, 1 Cu 2.71
Cu 0.8579 0.3579 0.5000  6 Al 2.46-2.50, 1 Cu 2.71
Rh 0.0000 0.0000 0.0000  4 Al 2.56
Rh 0.5000 0.5000 0.0000  4 Al 2.56

Calculated values
Size of the total moment, μB/cell: 0.00
Symmetry: No. 127



P has the most favorable energy; the next structure is 3.9 kJ/mol of atoms above.



## P
The following is a DFT calculation (PBE-GGA) of a relaxed structure of Al2Cu2Rh.

Cell: 8.3520 8.3520 2.8966 Å, 90.00 90.00 159.90°
Last column: nearest neighbours and their distance in Å.
Fractional coordinates of all 5 atoms:
Al 0.0959 0.9041 0.0000  4 Cu 2.56, 4 Rh 2.59
Al 0.9041 0.0959 0.0000  4 Cu 2.56, 4 Rh 2.59
Cu 0.3111 0.6889 0.5000  2 Cu 2.48, 4 Al 2.56
Cu 0.6889 0.3111 0.5000  2 Cu 2.48, 4 Al 2.56
Rh 0.5000 0.5000 0.5000  8 Al 2.59, 2 Rh 2.90

Calculated values
Size of the total moment, μB/cell: 0.00
Symmetry: No. 65



## Q
The following is a DFT calculation (PBE-GGA) of a relaxed structure of Al2Cu2Rh.

Cell: 7.1461 7.1461 7.1461 Å, 153.65 153.65 37.62°
Last column: nearest neighbours and their distance in Å.
Fractional coordinates of all 5 atoms:
Al 0.1002 0.1002 0.0000  4 Cu 2.60, 4 Rh 2.67, 1 Al 2.71
Al 0.8998 0.8998 0.0000  4 Cu 2.60, 4 Rh 2.67, 1 Al 2.71
Cu 0.2500 0.7500 0.5000  4 Cu 2.30
Cu 0.7500 0.2500 0.5000  4 Cu 2.30
Rh 0.5000 0.5000 0.0000  8 Al 2.67

Calculated values
Size of the total moment, μB/cell: 0.00
Symmetry: No. 139



P has the most favorable energy; the next structure is 11.4 kJ/mol of atoms above.



## P
The following is a DFT calculation (PBE-GGA) of a relaxed structure of AlCuRh.

Cell: 4.8893 4.8893 4.8893 Å, 144.10 144.10 51.68°
Last column: nearest neighbours and their distance in Å.
Fractional coordinates of all 3 atoms:
Al 0.0000 0.0000 0.0000  4 Rh 2.54, 4 Cu 2.57
Cu 0.6631 0.6631 0.0000  4 Al 2.57, 5 Rh 2.66-2.81
Rh 0.3438 0.3438 0.0000  4 Al 2.54, 5 Cu 2.66-2.81

Calculated values
Size of the total moment, μB/cell: 0.00
Symmetry: No. 107



## Q
The following is a DFT calculation (PBE-GGA) of a relaxed structure of AlCuRh.

Cell: 4.0791 4.0791 2.8023 Å, 90.00 90.00 120.00°
Last column: nearest neighbours and their distance in Å.
Fractional coordinates of all 3 atoms:
Al 0.0000 0.0000 0.0000  3 Cu 2.38, 3 Rh 2.63
Cu 0.6667 0.3333 0.1257  3 Al 2.38
Rh 0.3333 0.6667 0.5831  6 Al 2.63-2.87, 6 Cu 2.68-2.80, 2 Rh 2.80

Calculated values
Size of the total moment, μB/cell: 0.00
Symmetry: No. 156



P has the most favorable energy; the next structure is 4.1 kJ/mol of atoms above.